Compound: ScZn2Rh3
Source: the Alexandria database
Functional: PBE
Structure: optimized geometry

It has space group P-3m1 (No. 164), with a = 4.3808 Å, b = 4.3808 Å, c = 5.2968 Å, α = 90.00°, β = 90.00° and γ = 120.00°. The distinct sites, in fractional coordinates, are Sc at (0.0000, 0.0000, 0.0000), Zn at (0.3333, 0.6667, 0.6731), Rh at (0.0000, 0.0000, 0.5000) and Rh at (0.3333, 0.6667, 0.1814).

The uncorrected energy is -34.95 eV/f.u. The energy relative to the elements comes out at -0.670 eV/atom.